No. 1
! Pb2Se2S5 | Alexandria via LeMat-Bulk | GGA-PBE | relaxed; values from VASP
&SYSTEM
  ibrav = 0, nat = 18, ntyp = 3
/
ATOMIC_SPECIES
Se 78.96 Se.upf
S 32.06 S.upf
Pb 207.20 Pb.upf
CELL_PARAMETERS angstrom
-3.957 -3.392 1.942
-4.989 -0.766 -9.335
9.909 -5.567 1.418
ATOMIC_POSITIONS angstrom
Se 1.896 -7.129 -2.926
S 3.830 -7.026 1.499
Pb -5.125 -1.893 -8.403
S -4.020 -3.768 -6.636
Pb 4.628 -7.828 -1.065
Se -1.556 -2.209 -4.082
S 5.774 -6.537 1.033
S 1.075 -2.311 -1.343
Pb 1.231 -5.022 -0.662
Se 1.811 -6.945 -5.494
S 2.856 -5.068 -5.904
S 0.913 -6.170 2.431
Se -1.006 -3.047 -1.709
S -3.566 -4.994 -2.929
S -2.996 -1.984 -6.716
Pb 0.230 -4.106 -6.125
S 2.451 -4.923 1.915
S 3.411 -5.597 -2.322
! Space group   No. 8
! Formation energy (no corrections)   -37 meV per atom

=====

No. 2
! TaGe2I | Alexandria via LeMat-Bulk | GGA-PBE | relaxed; values from VASP
&SYSTEM
  ibrav = 0, nat = 4, ntyp = 3
/
ATOMIC_SPECIES
Ge 72.64 Ge.upf
I 126.90 I.upf
Ta 180.95 Ta.upf
CELL_PARAMETERS angstrom
-3.180 -3.562 1.019
-4.116 1.021 2.420
-4.298 -0.171 -2.311
ATOMIC_POSITIONS angstrom
Ge -2.898 -0.678 0.282
I 0.000 0.000 0.000
Ta -5.797 -1.356 0.564
Ge -8.695 -2.034 0.846
! Space group   No. 225
! Formation energy (no corrections)   943 meV per atom
! Energy above the lowest structure with this stoichiometry   122 meV/atom

=====

No. 3
! InSi2Br | Alexandria via LeMat-Bulk | GGA-PBE | relaxed; values from VASP
&SYSTEM
  ibrav = 0, nat = 4, ntyp = 3
/
ATOMIC_SPECIES
In 114.82 In.upf
Br 79.90 Br.upf
Si 28.09 Si.upf
CELL_PARAMETERS angstrom
6.301 -0.003 0.005
3.586 5.181 -0.005
-4.447 -3.537 2.723
ATOMIC_POSITIONS angstrom
In 3.748 -0.292 1.364
Br 4.880 2.556 0.000
Si 1.492 1.829 1.359
Si 0.262 0.137 0.000
! Space group   No. 44
! Formation energy (no corrections)   342 meV per atom
! Energy above the lowest structure with this stoichiometry   327 meV/atom

=====

No. 4
! Ce6SnOs2 | Alexandria via LeMat-Bulk | GGA-PBE | relaxed; values from VASP
&SYSTEM
  ibrav = 0, nat = 9, ntyp = 3
/
ATOMIC_SPECIES
Ce 140.12 Ce.upf
Os 190.23 Os.upf
Sn 118.71 Sn.upf
CELL_PARAMETERS angstrom
-3.038 3.466 0.889
-2.318 -5.306 0.372
2.430 -0.090 8.653
ATOMIC_POSITIONS angstrom
Ce -4.467 -1.333 2.323
Os -1.716 -1.866 1.411
Ce -1.654 0.191 5.995
Ce -1.081 -2.946 7.790
Os -1.210 -0.063 8.504
Ce -1.272 -2.121 3.920
Sn 1.215 -0.045 4.327
Ce -1.845 1.017 2.124
Ce 1.541 -0.597 7.592
! Space group   No. 12
! Formation energy   -0.304 eV/atom
! Energy above the lowest structure with this stoichiometry   0 meV/atom

=====

No. 5
! Nd6AsBr8 | Alexandria via LeMat-Bulk | GGA-PBE | relaxed; values from VASP
&SYSTEM
  ibrav = 0, nat = 15, ntyp = 3
/
ATOMIC_SPECIES
Nd 144.24 Nd.upf
Br 79.90 Br.upf
As 74.92 As.upf
CELL_PARAMETERS angstrom
-6.327 -1.091 3.703
-6.234 -1.557 -3.694
-2.002 -11.246 0.683
ATOMIC_POSITIONS angstrom
Nd -6.698 -10.411 3.132
Br -8.374 -1.766 0.006
Nd -10.290 -3.752 1.260
Br -6.189 -12.128 0.686
Nd -8.599 -11.071 -0.817
Br -7.733 -4.952 2.672
Nd -7.865 -3.483 -2.439
Nd -5.963 -2.823 1.510
Br -4.845 -8.281 1.717
Nd -4.273 -10.142 -0.568
Br -9.718 -5.613 -1.025
Br -6.830 -8.943 -1.980
Br -9.000 -9.161 1.665
Br -5.562 -4.733 -0.973
As 0.000 0.000 0.000
! Space group   No. 148
! Formation energy (no corrections)   -1537 meV per atom

=====

No. 6
! Sm3Mn5Se12 | Alexandria via LeMat-Bulk | GGA-PBE | relaxed; values from VASP
&SYSTEM
  ibrav = 0, nat = 80, ntyp = 3
/
ATOMIC_SPECIES
Se 78.96 Se.upf
Mn 54.94 Mn.upf
Sm 150.36 Sm.upf
CELL_PARAMETERS angstrom
-10.451 8.837 -0.931
-3.590 -10.493 8.073
10.908 6.366 5.355
ATOMIC_POSITIONS angstrom
Se -0.848 5.365 1.613
Se 4.340 -0.455 12.007
Se -6.677 2.762 8.661
Mn 2.858 2.253 6.141
Mn -1.566 2.355 6.249
Se -3.112 11.099 3.203
Se -1.284 2.053 8.768
Se 5.143 -1.750 8.768
Se -4.967 3.306 1.818
Se -7.472 5.164 0.490
Se -1.414 7.522 4.165
Se -4.359 6.474 0.777
Sm -7.821 3.488 2.999
Sm 7.340 4.051 6.587
Se -4.792 -1.445 8.744
Se -1.849 2.656 3.729
Mn 0.092 -4.378 7.947
Sm -6.866 8.012 1.534
Mn -3.207 5.948 8.247
Mn 3.813 6.776 4.676
Mn 0.000 0.000 0.000
Sm 0.303 6.362 6.462
Se -10.337 3.480 4.798
Mn -3.453 1.486 2.339
Se -0.229 12.746 4.541
Se 3.544 1.947 3.836
Se -2.904 -8.037 7.956
Sm -3.436 -1.653 6.035
Se -11.550 -2.056 6.745
Se 1.660 6.154 3.753
Se 0.519 9.430 6.789
Mn -6.946 -2.067 7.821
Se -1.777 -2.713 3.723
Se -5.851 4.508 5.073
Mn -5.225 4.418 -0.465
Mn 3.659 -2.064 6.714
Se -5.125 7.663 4.066
Mn -3.224 9.087 4.551
Sm -3.339 5.287 3.445
Sm -10.473 0.658 5.910
Se 8.417 6.765 5.752
Se -1.356 7.422 8.774
Se -7.571 1.216 4.998
Mn -1.795 -5.247 4.037
Se 1.992 -2.953 8.431
Se 1.835 1.403 10.679
Se -8.704 -0.441 8.197
Se 2.718 0.201 7.425
Se -3.868 4.484 10.063
Se -6.338 -2.364 5.493
Sm 4.688 1.221 9.498
Se -1.719 -2.813 8.332
Mn 0.074 -1.239 4.250
Sm -4.162 1.425 9.713
Se -3.652 -4.721 5.708
Mn 0.228 7.601 2.212
Mn -4.390 -6.177 7.501
Se 7.204 1.229 7.699
Se -0.836 -0.091 6.181
Se 0.734 3.370 5.805
Se 4.438 3.493 7.499
Se -2.297 4.800 6.316
Se 0.735 0.225 2.434
Se -8.276 6.459 3.730
Se 1.227 -1.765 11.720
Se -3.866 1.339 6.692
Se -2.285 -0.656 10.884
Mn 0.320 3.223 10.158
Se -4.506 -0.417 3.410
Sm 1.029 3.285 2.784
Sm 3.733 -3.303 10.964
Mn 5.454 3.183 2.677
Se -0.020 -6.390 9.294
Se 5.571 5.150 4.300
Mn -5.991 2.456 6.356
Mn -7.020 -0.828 3.571
Sm 0.206 -0.578 9.053
Se 3.205 7.073 7.004
Mn 1.257 10.886 4.996
Se 1.373 5.126 9.087
! Space group   No. 230
! Formation energy (no corrections)   -918 meV per atom

=====

No. 7
! VFeP2 | Alexandria via LeMat-Bulk | GGA-PBE | relaxed; values from VASP
&SYSTEM
  ibrav = 0, nat = 4, ntyp = 3
/
ATOMIC_SPECIES
P 30.97 P.upf
Fe 55.84 Fe.upf
V 50.94 V.upf
CELL_PARAMETERS angstrom
3.488 0.000 0.000
1.744 3.020 0.000
1.744 1.007 4.880
ATOMIC_POSITIONS angstrom
P 5.232 3.020 3.830
Fe 0.000 0.000 0.000
V 3.488 2.014 2.440
P 1.744 1.007 1.050
! Space group   No. 166
! Formation energy   -0.267 eV/atom
! Energy above the lowest structure with this stoichiometry   29 meV/atom

=====

No. 8
! Ce4PaRu5 | Alexandria via LeMat-Bulk | GGA-PBE | relaxed; values from VASP
&SYSTEM
  ibrav = 0, nat = 10, ntyp = 3
/
ATOMIC_SPECIES
Ru 101.07 Ru.upf
Ce 140.12 Ce.upf
Pa 231.04 Pa.upf
CELL_PARAMETERS angstrom
-0.921 2.854 4.479
-4.281 -3.213 4.411
4.545 -1.377 5.055
ATOMIC_POSITIONS angstrom
Ru -0.573 1.776 2.787
Ce -2.051 -0.473 6.229
Ru -2.107 -2.307 3.925
Ce -1.491 -1.060 9.962
Ru -0.696 -3.023 7.915
Ce 1.433 -1.384 7.526
Pa -0.177 0.549 0.861
Ru 0.140 0.974 5.540
Ru 1.551 0.258 9.530
Ce 0.873 -0.797 3.793
! Space group   No. 79
! Formation energy   -0.288 eV/atom

=====

Sequential VASP energy output: -3.928; -4.716; -3.472; -7.200; -4.646; -6.009; -7.368; -8.249 eV/atom
Sequential calculated volume output: 31.58; 20.58; 22.22; 24.86; 33.66; 24.84; 12.85; 22.02 A^3/atom